--- a ---
Density functional theory data (PBE-GGA) for a geometry-optimized Cu3IF structure.

```
data_Cu3IF
_cell_length_a 4.979
_cell_length_b 4.979
_cell_length_c 4.979
_cell_angle_alpha 90.00
_cell_angle_beta 90.00
_cell_angle_gamma 90.00
_space_group_name_H-M_alt 'P m -3 m'
_space_group_IT_number 221
_space_group_name_Hall '-P 4 2 3'
loop_
_atom_site_label
_atom_site_type_symbol
_atom_site_fract_x
_atom_site_fract_y
_atom_site_fract_z
_atom_site_occupancy
Cu1 Cu 0.000 0.000 0.500 1
I1 I 0.000 0.000 0.000 1
F1 F 0.500 0.500 0.500 1
```

Results
- V (Å³/f.u.) = 123.5
- density of states at the Fermi level (states/eV per cell) = 2.778
- total magnetization (μB/f.u.) = 0.000

***

--- b ---
Density functional theory data (PBE-GGA) for a geometry-optimized Cu3IF structure.

```
data_Cu3IF
_cell_length_a 4.370
_cell_length_b 4.370
_cell_length_c 4.370
_cell_angle_alpha 90.00
_cell_angle_beta 90.00
_cell_angle_gamma 90.00
_space_group_name_H-M_alt 'P m -3 m'
_space_group_IT_number 221
_space_group_name_Hall '-P 4 2 3'
loop_
_atom_site_label
_atom_site_type_symbol
_atom_site_fract_x
_atom_site_fract_y
_atom_site_fract_z
_atom_site_occupancy
Cu1 Cu 0.000 0.000 0.500 1
I1 I 0.500 0.500 0.500 1
F1 F 0.000 0.000 0.000 1
```

Results
- V (Å³/f.u.) = 83.4
- density of states at the Fermi level (states/eV per cell) = 1.896
- total magnetization (μB/f.u.) = 0.000

***

b takes first place; second place is 47.5 kJ/mol of atoms up.

***

--- a ---
Density functional theory data (PBE-GGA) for a geometry-optimized CuI2NF structure.

```
data_CuI2NF
_cell_length_a 5.526
_cell_length_b 5.526
_cell_length_c 3.577
_cell_angle_alpha 90.00
_cell_angle_beta 90.00
_cell_angle_gamma 90.00
_space_group_name_H-M_alt 'P 4/m m m'
_space_group_IT_number 123
_space_group_name_Hall '-P 4 2'
loop_
_atom_site_label
_atom_site_type_symbol
_atom_site_fract_x
_atom_site_fract_y
_atom_site_fract_z
_atom_site_occupancy
Cu1 Cu 0.000 0.000 0.000 1
I1 I 0.000 0.500 0.000 1
N1 N 0.000 0.000 0.500 1
F1 F 0.500 0.500 0.500 1
```

Results
- V (Å³/f.u.) = 109.2
- density of states at the Fermi level (states/eV per cell) = 5.455
- total magnetization (μB/f.u.) = 0.514

***

--- b ---
Density functional theory data (PBE-GGA) for a geometry-optimized CuI2NF structure.

```
data_CuI2NF
_cell_length_a 6.183
_cell_length_b 6.183
_cell_length_c 3.206
_cell_angle_alpha 90.00
_cell_angle_beta 90.00
_cell_angle_gamma 90.00
_space_group_name_H-M_alt 'P 4/m m m'
_space_group_IT_number 123
_space_group_name_Hall '-P 4 2'
loop_
_atom_site_label
_atom_site_type_symbol
_atom_site_fract_x
_atom_site_fract_y
_atom_site_fract_z
_atom_site_occupancy
Cu1 Cu 0.000 0.000 0.000 1
I1 I 0.000 0.500 0.500 1
N1 N 0.500 0.500 0.000 1
F1 F 0.500 0.500 0.500 1
```

Results
- V (Å³/f.u.) = 122.6
- density of states at the Fermi level (states/eV per cell) = 3.170
- total magnetization (μB/f.u.) = 0.000

***

a takes first place; second place is 60.1 kJ/mol of atoms up.

***

--- a ---
Density functional theory data (PBE-GGA) for a geometry-optimized CuSbI2F structure.

```
data_CuSbI2F
_cell_length_a 5.907
_cell_length_b 5.907
_cell_length_c 4.182
_cell_angle_alpha 90.00
_cell_angle_beta 90.00
_cell_angle_gamma 90.00
_space_group_name_H-M_alt 'P 4/m m m'
_space_group_IT_number 123
_space_group_name_Hall '-P 4 2'
loop_
_atom_site_label
_atom_site_type_symbol
_atom_site_fract_x
_atom_site_fract_y
_atom_site_fract_z
_atom_site_occupancy
Cu1 Cu 0.000 0.000 0.000 1
Sb1 Sb 0.500 0.500 0.000 1
I1 I 0.000 0.500 0.500 1
F1 F 0.500 0.500 0.500 1
```

Results
- V (Å³/f.u.) = 145.9
- density of states at the Fermi level (states/eV per cell) = 2.050
- total magnetization (μB/f.u.) = 0.000

***

--- b ---
Density functional theory data (PBE-GGA) for a geometry-optimized CuSbI2F structure.

```
data_CuSbI2F
_cell_length_a 5.269
_cell_length_b 5.269
_cell_length_c 5.068
_cell_angle_alpha 90.00
_cell_angle_beta 90.00
_cell_angle_gamma 90.00
_space_group_name_H-M_alt 'P 4/m m m'
_space_group_IT_number 123
_space_group_name_Hall '-P 4 2'
loop_
_atom_site_label
_atom_site_type_symbol
_atom_site_fract_x
_atom_site_fract_y
_atom_site_fract_z
_atom_site_occupancy
Cu1 Cu 0.000 0.000 0.000 1
Sb1 Sb 0.000 0.000 0.500 1
I1 I 0.000 0.500 0.000 1
F1 F 0.500 0.500 0.500 1
```

Results
- V (Å³/f.u.) = 140.7
- density of states at the Fermi level (states/eV per cell) = 3.617
- total magnetization (μB/f.u.) = 0.000

***

a takes first place; second place is 2.4 kJ/mol of atoms up.

***

--- a ---
Density functional theory data (PBE-GGA) for a geometry-optimized In3CuF structure.

```
data_In3CuF
_cell_length_a 5.024
_cell_length_b 5.024
_cell_length_c 5.024
_cell_angle_alpha 90.00
_cell_angle_beta 90.00
_cell_angle_gamma 90.00
_space_group_name_H-M_alt 'P m -3 m'
_space_group_IT_number 221
_space_group_name_Hall '-P 4 2 3'
loop_
_atom_site_label
_atom_site_type_symbol
_atom_site_fract_x
_atom_site_fract_y
_atom_site_fract_z
_atom_site_occupancy
In1 In 0.000 0.000 0.500 1
Cu1 Cu 0.000 0.000 0.000 1
F1 F 0.500 0.500 0.500 1
```

Results
- V (Å³/f.u.) = 126.8
- density of states at the Fermi level (states/eV per cell) = 2.450
- total magnetization (μB/f.u.) = 0.000

***

--- b ---
Density functional theory data (PBE-GGA) for a geometry-optimized In3CuF structure.

```
data_In3CuF
_cell_length_a 4.953
_cell_length_b 4.953
_cell_length_c 4.953
_cell_angle_alpha 90.00
_cell_angle_beta 90.00
_cell_angle_gamma 90.00
_space_group_name_H-M_alt 'P m -3 m'
_space_group_IT_number 221
_space_group_name_Hall '-P 4 2 3'
loop_
_atom_site_label
_atom_site_type_symbol
_atom_site_fract_x
_atom_site_fract_y
_atom_site_fract_z
_atom_site_occupancy
In1 In 0.000 0.000 0.500 1
Cu1 Cu 0.500 0.500 0.500 1
F1 F 0.000 0.000 0.000 1
```

Results
- V (Å³/f.u.) = 121.5
- density of states at the Fermi level (states/eV per cell) = 1.687
- total magnetization (μB/f.u.) = 0.000

***

a takes first place; second place is 11.2 kJ/mol of atoms up.

***

--- a ---
Density functional theory data (PBE-GGA) for a geometry-optimized InCu3F structure.

```
data_InCu3F
_cell_length_a 4.878
_cell_length_b 4.878
_cell_length_c 4.878
_cell_angle_alpha 90.00
_cell_angle_beta 90.00
_cell_angle_gamma 90.00
_space_group_name_H-M_alt 'P m -3 m'
_space_group_IT_number 221
_space_group_name_Hall '-P 4 2 3'
loop_
_atom_site_label
_atom_site_type_symbol
_atom_site_fract_x
_atom_site_fract_y
_atom_site_fract_z
_atom_site_occupancy
In1 In 0.000 0.000 0.000 1
Cu1 Cu 0.000 0.000 0.500 1
F1 F 0.500 0.500 0.500 1
```

Results
- V (Å³/f.u.) = 116.1
- density of states at the Fermi level (states/eV per cell) = 3.238
- total magnetization (μB/f.u.) = 0.000

***

--- b ---
Density functional theory data (PBE-GGA) for a geometry-optimized InCu3F structure.

```
data_InCu3F
_cell_length_a 4.236
_cell_length_b 4.236
_cell_length_c 4.236
_cell_angle_alpha 90.00
_cell_angle_beta 90.00
_cell_angle_gamma 90.00
_space_group_name_H-M_alt 'P m -3 m'
_space_group_IT_number 221
_space_group_name_Hall '-P 4 2 3'
loop_
_atom_site_label
_atom_site_type_symbol
_atom_site_fract_x
_atom_site_fract_y
_atom_site_fract_z
_atom_site_occupancy
In1 In 0.000 0.000 0.000 1
Cu1 Cu 0.000 0.500 0.500 1
F1 F 0.500 0.500 0.500 1
```

Results
- V (Å³/f.u.) = 76.0
- density of states at the Fermi level (states/eV per cell) = 1.519
- total magnetization (μB/f.u.) = 0.000

***

b takes first place; second place is 67.5 kJ/mol of atoms up.

***

--- a ---
Density functional theory data (PBE-GGA) for a geometry-optimized InCu2F structure.

```
data_InCu2F
_cell_length_a 6.859
_cell_length_b 6.859
_cell_length_c 5.058
_cell_angle_alpha 90.00
_cell_angle_beta 90.00
_cell_angle_gamma 90.00
_space_group_name_H-M_alt 'I -4 2 d'
_space_group_IT_number 122
_space_group_name_Hall 'I -4 2bw'
loop_
_atom_site_label
_atom_site_type_symbol
_atom_site_fract_x
_atom_site_fract_y
_atom_site_fract_z
_atom_site_occupancy
In1 In 0.000 0.000 0.000 1
Cu1 Cu 0.208 0.250 0.625 1
F1 F 0.000 0.000 0.500 1
```

Results
- V (Å³/f.u.) = 59.5
- density of states at the Fermi level (states/eV per cell) = 1.704
- total magnetization (μB/f.u.) = 0.000

***

--- b ---
Density functional theory data (PBE-GGA) for a geometry-optimized InCu2F structure.

```
data_InCu2F
_cell_length_a 6.234
_cell_length_b 6.234
_cell_length_c 6.234
_cell_angle_alpha 90.00
_cell_angle_beta 90.00
_cell_angle_gamma 90.00
_space_group_name_H-M_alt 'F m -3 m'
_space_group_IT_number 225
_space_group_name_Hall '-F 4 2 3'
loop_
_atom_site_label
_atom_site_type_symbol
_atom_site_fract_x
_atom_site_fract_y
_atom_site_fract_z
_atom_site_occupancy
In1 In 0.000 0.000 0.000 1
Cu1 Cu 0.250 0.250 0.250 1
F1 F 0.000 0.000 0.500 1
```

Results
- V (Å³/f.u.) = 60.6
- density of states at the Fermi level (states/eV per cell) = 6.023
- total magnetization (μB/f.u.) = 0.000

***

a takes first place; second place is 22.7 kJ/mol of atoms up.

***

--- a ---
Density functional theory data (PBE-GGA) for a geometry-optimized InCuN2F structure.

```
data_InCuN2F
_cell_length_a 3.816
_cell_length_b 3.816
_cell_length_c 4.054
_cell_angle_alpha 90.00
_cell_angle_beta 90.00
_cell_angle_gamma 90.00
_space_group_name_H-M_alt 'P 4/m m m'
_space_group_IT_number 123
_space_group_name_Hall '-P 4 2'
loop_
_atom_site_label
_atom_site_type_symbol
_atom_site_fract_x
_atom_site_fract_y
_atom_site_fract_z
_atom_site_occupancy
In1 In 0.000 0.000 0.000 1
Cu1 Cu 0.500 0.500 0.500 1
N1 N 0.000 0.500 0.500 1
F1 F 0.500 0.500 0.000 1
```

Results
- V (Å³/f.u.) = 59.0
- density of states at the Fermi level (states/eV per cell) = 2.970
- total magnetization (μB/f.u.) = 1.038

***

--- b ---
Density functional theory data (PBE-GGA) for a geometry-optimized InCuN2F structure.

```
data_InCuN2F
_cell_length_a 4.307
_cell_length_b 4.307
_cell_length_c 4.231
_cell_angle_alpha 90.00
_cell_angle_beta 90.00
_cell_angle_gamma 90.00
_space_group_name_H-M_alt 'P 4/m m m'
_space_group_IT_number 123
_space_group_name_Hall '-P 4 2'
loop_
_atom_site_label
_atom_site_type_symbol
_atom_site_fract_x
_atom_site_fract_y
_atom_site_fract_z
_atom_site_occupancy
In1 In 0.000 0.000 0.000 1
Cu1 Cu 0.500 0.500 0.500 1
N1 N 0.000 0.500 0.000 1
F1 F 0.000 0.000 0.500 1
```

Results
- V (Å³/f.u.) = 78.5
- density of states at the Fermi level (states/eV per cell) = 1.292
- total magnetization (μB/f.u.) = 2.949

***

a takes first place; second place is 33.5 kJ/mol of atoms up.

***

--- a ---
Density functional theory data (PBE-GGA) for a geometry-optimized Na2InCuF6 structure.

```
data_Na2InCuF6
_cell_length_a 5.678
_cell_length_b 5.520
_cell_length_c 11.098
_cell_angle_alpha 90.00
_cell_angle_beta 120.58
_cell_angle_gamma 90.00
_space_group_name_H-M_alt 'P 1 21/c 1'
_space_group_IT_number 14
loop_
_space_group_symop_operation_xyz
'x,y,z'
'-x,-y,-z'
'-x,y+1/2,-z+1/2'
'x,-y+1/2,z+1/2'
loop_
_atom_site_label
_atom_site_type_symbol
_atom_site_fract_x
_atom_site_fract_y
_atom_site_fract_z
_atom_site_occupancy
Na1 Na 0.211 0.001 0.211 1
In1 In 0.500 0.000 0.000 1
Cu1 Cu 0.000 0.000 0.500 1
F1 F 0.172 0.209 0.999 1
F2 F 0.185 0.712 0.348 1
F3 F 0.493 0.708 0.655 1
```

Results
- V (Å³/f.u.) = 149.7
- total magnetization (μB/f.u.) = 0.072

***

--- b ---
Density functional theory data (PBE-GGA) for a geometry-optimized Na2InCuF6 structure.

```
data_Na2InCuF6
_cell_length_a 8.485
_cell_length_b 8.485
_cell_length_c 8.485
_cell_angle_alpha 90.00
_cell_angle_beta 90.00
_cell_angle_gamma 90.00
_space_group_name_H-M_alt 'F m -3 m'
_space_group_IT_number 225
_space_group_name_Hall '-F 4 2 3'
loop_
_atom_site_label
_atom_site_type_symbol
_atom_site_fract_x
_atom_site_fract_y
_atom_site_fract_z
_atom_site_occupancy
Na1 Na 0.250 0.250 0.250 1
In1 In 0.000 0.000 0.000 1
Cu1 Cu 0.000 0.000 0.500 1
F1 F 0.000 0.000 0.250 1
```

Results
- V (Å³/f.u.) = 152.7
- density of states at the Fermi level (states/eV per cell) = 16.075
- total magnetization (μB/f.u.) = 0.168

***

a takes first place; second place is 13.1 kJ/mol of atoms up.